Here is an optimized crystal structure of LiMo2P3O13 from Alexandria via LeMat-Bulk. Energies are from GGA+U.

Cell: 9.2497 9.2497 8.3359 Å, 108.50 108.50 111.10°
Last column: nearest neighbours and their distance in Å.
Element x y z (fractional)
Li: 0.0000 0.5000 0.0000  2 O 2.35
Li: 0.5000 0.0000 0.5000  2 O 2.35
Mo: 0.1582 0.3399 0.3239  1 O 1.69
Mo: 0.3399 0.1582 0.8239  1 O 1.69
Mo: 0.6601 0.8418 0.1761  1 O 1.69
Mo: 0.8418 0.6601 0.6761  1 O 1.69
P: 0.1649 0.7363 0.5515  4 O 1.51-1.63
P: 0.2637 0.8351 0.9485  4 O 1.51-1.63
P: 0.4945 0.5055 0.2500  4 O 1.54-1.55
P: 0.5055 0.4945 0.7500  4 O 1.54-1.55
P: 0.7363 0.1649 0.0515  4 O 1.51-1.63
P: 0.8351 0.2637 0.4485  4 O 1.51-1.63
O: 0.0212 0.3085 0.4762  1 P 1.54
O: 0.0734 0.7250 0.9153  1 P 1.56
O: 0.1389 0.1421 0.7495  1 Mo 1.69
O: 0.1421 0.1389 0.2495  1 Mo 1.69
O: 0.1644 0.6043 0.3883  1 P 1.51
O: 0.2655 0.7345 0.7500  2 P 1.63
O: 0.2750 0.9266 0.5847  1 P 1.56
O: 0.2967 0.4296 0.1976  1 P 1.55
O: 0.3085 0.0212 0.9762  1 P 1.54
O: 0.3911 0.4999 0.5745  1 P 1.54
O: 0.3957 0.8356 0.1117  1 P 1.51
O: 0.4296 0.2967 0.6976  1 P 1.55
O: 0.4999 0.3911 0.0745  1 P 1.54
O: 0.5001 0.6089 0.9255  1 P 1.54
O: 0.5704 0.7033 0.3024  1 P 1.55
O: 0.6043 0.1644 0.8883  1 P 1.51
O: 0.6089 0.5001 0.4255  1 P 1.54
O: 0.6915 0.9788 0.0238  1 P 1.54
O: 0.7033 0.5704 0.8024  1 P 1.55
O: 0.7250 0.0734 0.4153  1 P 1.56
O: 0.7345 0.2655 0.2500  2 P 1.63
O: 0.8356 0.3957 0.6117  1 P 1.51
O: 0.8579 0.8611 0.7505  1 Mo 1.69
O: 0.8611 0.8579 0.2505  1 Mo 1.69
O: 0.9266 0.2750 0.0847  1 P 1.56
O: 0.9788 0.6915 0.5238  1 P 1.54

Mass density: 3.0 g cm⁻³
Electronic total energy: -0.5202 Ry per atom
Crystal system: monoclinic
Excess energy over the best structure of this formula in the dataset: 3.5 kJ per mole of atoms
SG: C2/c